Record 1
Material: Li2Pr2DyIn2
Method: DFT, PBE
State: optimized geometry

Properties
D(E_F)   0.871 states/eV/atom
Space group   R-3m
Energy of formation   -245.8 meV per atom

Cell lengths 9.4227, 9.4227, 9.4227 Å; angles 30.18, 30.18, 30.18 degrees
Fractional coordinates of all 7 atoms:
Li 0.1107 0.1107 0.1107
Li 0.8893 0.8893 0.8893
Pr 0.3727 0.3727 0.3727
Pr 0.6273 0.6273 0.6273
Dy 0.5000 0.5000 0.5000
In 0.2330 0.2330 0.2330
In 0.7670 0.7670 0.7670

Record 2
Material: Hf2Ti4Sb
Method: DFT, PBE
State: optimized geometry

Properties
D(E_F)   1.428 states/eV/atom
Space group   Cmmm
Energy relative to the elements, uncorrected   0.491 eV/atom

Cell lengths 6.6075, 6.6075, 4.7627 Å; angles 90.00, 90.00, 132.75 degrees
Fractional coordinates of all 7 atoms:
Hf 0.1317 0.8683 0.0000
Hf 0.8683 0.1317 0.0000
Ti 0.2741 0.7259 0.5000
Ti 0.3775 0.6225 0.0000
Ti 0.6225 0.3775 0.0000
Ti 0.7259 0.2741 0.5000
Sb 0.5000 0.5000 0.5000

Record 3
Material: Mg2Cd7Ag2
Method: DFT, PBE
State: optimized geometry

Properties
D(E_F)   0.376 states/eV/atom
Space group   C2/m
Energy of formation   -51.8 meV per atom

Cell lengths 5.6874, 5.6874, 7.4452 Å; angles 97.63, 97.63, 97.37 degrees
Fractional coordinates of all 11 atoms:
Mg 0.1846 0.8154 0.0000
Mg 0.8154 0.1846 0.0000
Cd 0.0297 0.4073 0.6862
Cd 0.3486 0.3486 0.0859
Cd 0.4073 0.0297 0.6862
Cd 0.5000 0.5000 0.5000
Cd 0.5927 0.9703 0.3138
Cd 0.6514 0.6514 0.9141
Cd 0.9703 0.5927 0.3138
Ag 0.1067 0.1067 0.3425
Ag 0.8933 0.8933 0.6575

Record 4
Material: KGaSi
Method: DFT, PBE
State: optimized geometry

Properties
D(E_F)   0.187 states/eV/atom
Space group   Imm2
Energy relative to the elements, uncorrected   0.140 eV/atom

Cell lengths 8.1302, 8.1302, 8.1302 Å; angles 147.35, 62.91, 127.84 degrees
Fractional coordinates of all 9 atoms:
K 0.0000 0.0000 0.0000
K 0.1519 0.7792 0.3727
K 0.4065 0.7792 0.6273
Ga 0.5400 0.5400 0.0000
Ga 0.5655 0.2539 0.3115
Ga 0.9424 0.2539 0.6885
Si 0.3605 0.5498 0.8108
Si 0.7040 0.2040 0.5000
Si 0.7390 0.5498 0.1892

Record 5
Material: KMgBr3
Method: DFT, PBE
State: optimized geometry

Properties
D(E_F)   0.000 states/eV/atom
Space group   Pnma
Energy relative to the elements, uncorrected   -1.586 eV/atom

Cell lengths 9.5311, 4.0755, 15.4125 Å; angles 90.00, 90.00, 90.00 degrees
Fractional coordinates of all 20 atoms:
K 0.0562 0.2500 0.1771
K 0.4438 0.7500 0.6771
K 0.5562 0.2500 0.3229
K 0.9438 0.7500 0.8229
Mg 0.1636 0.7500 0.4470
Mg 0.3364 0.2500 0.9470
Mg 0.6636 0.7500 0.0530
Mg 0.8364 0.2500 0.5530
Br 0.0198 0.7500 0.5994
Br 0.1738 0.7500 0.0073
Br 0.2249 0.2500 0.7934
Br 0.2751 0.7500 0.2934
Br 0.3262 0.2500 0.5073
Br 0.4802 0.2500 0.0994
Br 0.5198 0.7500 0.9006
Br 0.6738 0.7500 0.4927
Br 0.7249 0.2500 0.7066
Br 0.7751 0.7500 0.2066
Br 0.8262 0.2500 0.9927
Br 0.9802 0.2500 0.4006

Record 6
Material: TbDy3Ho3
Method: DFT, PBE
State: optimized geometry

Properties
D(E_F)   1.367 states/eV/atom
Space group   R-3
Energy of formation   141.8 meV per atom

Cell lengths 14.5306, 14.5306, 14.5306 Å; angles 24.35, 24.35, 24.35 degrees
Fractional coordinates of all 14 atoms:
Tb 0.1667 0.1667 0.1667
Tb 0.8333 0.8333 0.8333
Dy 0.0359 0.6987 0.3672
Dy 0.3013 0.6328 0.9641
Dy 0.3672 0.0359 0.6987
Dy 0.6328 0.9641 0.3013
Dy 0.6987 0.3672 0.0359
Dy 0.9641 0.3013 0.6328
Ho 0.0995 0.4336 0.7673
Ho 0.2327 0.9005 0.5664
Ho 0.4336 0.7673 0.0995
Ho 0.5664 0.2327 0.9005
Ho 0.7673 0.0995 0.4336
Ho 0.9005 0.5664 0.2327

Record 7
Material: TbSmDy2Mg
Method: DFT, PBE
State: optimized geometry

Properties
D(E_F)   1.474 states/eV/atom
Space group   P2_1/m
Energy of formation   16.0 meV per atom

Cell lengths 6.1183, 5.5927, 9.4407 Å; angles 90.00, 108.83, 90.00 degrees
Fractional coordinates of all 10 atoms:
Tb 0.1683 0.2500 0.4977
Tb 0.8317 0.7500 0.5023
Sm 0.0353 0.7500 0.8910
Sm 0.9647 0.2500 0.1090
Dy 0.3760 0.2500 0.8957
Dy 0.4482 0.7500 0.7033
Dy 0.5518 0.2500 0.2967
Dy 0.6240 0.7500 0.1043
Mg 0.2276 0.7500 0.3041
Mg 0.7724 0.2500 0.6959

Record 8
Material: LiY2TlN
Method: DFT, PBE
State: optimized geometry

Properties
D(E_F)   0.675 states/eV/atom
Space group   P4/mmm
Energy relative to the elements, uncorrected   -0.772 eV/atom

Cell lengths 4.8199, 4.8199, 4.3677 Å; angles 90.00, 90.00, 90.00 degrees
Fractional coordinates of all 5 atoms:
Li 0.0000 0.0000 0.0000
Y 0.0000 0.5000 0.5000
Y 0.5000 0.0000 0.5000
Tl 0.5000 0.5000 0.0000
N 0.0000 0.0000 0.5000